{"formula": "Nd6Cd3Os", "functional": "PBE", "state": "optimized geometry", "ef_ev_per_fu": -1.74, "rho_g_cm3": 8.12, "cell": [[5.4357, 0.0000, 0.0000], [0.0000, 8.8309, -2.9821], [0.0000, 0.0468, 11.8462]], "species": ["Cd", "Cd", "Cd", "Cd", "Cd", "Cd", "Nd", "Nd", "Nd", "Nd", "Nd", "Nd", "Nd", "Nd", "Nd", "Nd", "Nd", "Nd", "Os", "Os"], "frac_coords": [[0.2500, 0.4161, 0.7823], [0.7500, 0.2303, 0.0302], [0.2500, 0.7697, 0.9698], [0.2500, 0.5100, 0.3653], [0.7500, 0.4900, 0.6347], [0.7500, 0.5839, 0.2177], [0.2500, 0.2216, 0.5007], [0.2500, 0.6838, 0.6607], [0.7500, 0.7784, 0.4993], [0.2500, 0.1247, 0.1513], [0.7500, 0.8999, 0.1502], [0.7500, 0.3162, 0.3393], [0.7500, 0.8753, 0.8487], [0.2500, 0.8531, 0.3316], [0.2500, 0.1001, 0.8498], [0.7500, 0.5362, 0.9162], [0.2500, 0.4638, 0.0838], [0.7500, 0.1469, 0.6684], [0.7500, 0.0395, 0.4066], [0.2500, 0.9605, 0.5934]]}